(1)
Ba6TlGe2 PBE optimized geometry; space group = Immm (71); total DFT energy (no corrections) = -26.572 eV per formula unit; calculated formation energy = -382 meV/atom
1.0
9.5583 0.0124 -3.2788
-5.1395 8.1787 -2.9676
0.0906 -0.0124 10.1046
Tl Ba Ge
2 12 4
Direct
0.0000 0.5000 0.5000
0.0000 0.0000 0.0000
0.1891 0.2430 0.4321
0.6743 0.0116 0.3373
0.8109 0.7570 0.5679
0.8920 0.7197 0.1723
0.1080 0.2803 0.8277
0.4527 0.2803 0.1723
0.5473 0.7197 0.8277
0.3257 0.9884 0.6627
0.6743 0.3370 0.6627
0.8109 0.2430 0.0539
0.3257 0.6630 0.3373
0.1891 0.7570 0.9461
0.5000 0.6093 0.1093
0.3221 0.0000 0.3221
0.6779 0.0000 0.6779
0.5000 0.3907 0.8907

=====

(2)
BaTl2Ge2 PBE optimized geometry; space group = P4/mbm (127); relative energy among the computed polymorphs = 4.25 kcal/mol of atoms; total DFT energy (no corrections) = -16.006 eV per formula unit; calculated formation energy = -23 meV/atom
1.0
-2.0914 -8.0418 -3.1224
8.5479 -2.3653 0.3663
-0.4719 -1.1840 3.3656
Ge Tl Ba
4 4 2
Direct
0.8336 0.3336 0.5000
0.1664 0.6664 0.5000
0.3336 0.1664 0.5000
0.6664 0.8336 0.5000
0.3730 0.8730 0.0000
0.6270 0.1270 0.0000
0.1270 0.3730 0.0000
0.8730 0.6270 0.0000
0.5000 0.5000 0.0000
0.0000 0.0000 0.0000

=====

(3)
BaTl2Ge PBE optimized geometry; space group = Fm-3m (225); relative energy among the computed polymorphs = 1.54 kcal/mol of atoms; total DFT energy (no corrections) = -11.896 eV per formula unit; calculated formation energy = -156 meV/atom
1.0
3.4568 -1.9334 3.9788
0.6684 2.8736 4.7765
-2.0959 -2.0128 4.8036
Tl Ba Ge
2 1 1
Direct
0.2500 0.2500 0.2500
0.7500 0.7500 0.7500
0.5000 0.5000 0.5000
0.0000 0.0000 0.0000

=====

(4)
Ba4TlGe PBE optimized geometry; space group = C2/c (15); relative energy among the computed polymorphs = 0.00 kcal/mol of atoms; total DFT energy (no corrections) = -16.737 eV per formula unit; calculated formation energy = -344 meV/atom
1.0
7.3685 -0.3042 -1.8496
-3.1540 8.3737 -3.2062
-0.3302 -0.4218 9.4900
Ba Tl Ge
8 2 2
Direct
0.0747 0.9461 0.2847
0.9253 0.0539 0.7153
0.5747 0.2847 0.9461
0.7045 0.2258 0.3502
0.7955 0.6498 0.7742
0.2955 0.7742 0.6498
0.4253 0.7153 0.0539
0.2045 0.3502 0.2258
0.2500 0.3660 0.6340
0.7500 0.6340 0.3660
0.7500 0.0018 0.9982
0.2500 0.9982 0.0018

=====

(5)
Ba8Tl2Ge PBE optimized geometry; space group = C2/m (12); relative energy among the computed polymorphs = 0.00 kcal/mol of atoms; total DFT energy (no corrections) = -27.696 eV per formula unit; calculated formation energy = -269 meV/atom
1.0
-4.1097 4.2815 -1.0338
-0.5257 -2.4196 -7.9310
-5.0979 -7.6578 6.1026
Tl Ge Ba
2 1 8
Direct
0.1831 0.7043 0.3662
0.8169 0.2957 0.6338
0.5000 0.0000 0.0000
0.7924 0.6949 0.5848
0.2076 0.3051 0.4152
0.3415 0.0459 0.6830
0.0275 0.7996 0.0551
0.4066 0.5768 0.8131
0.5934 0.4232 0.1869
0.6585 0.9541 0.3170
0.9725 0.2004 0.9449

=====

(6)
BaTl2Ge2 PBE optimized geometry; space group = P4/mbm (127); relative energy among the computed polymorphs = 3.12 kcal/mol of atoms; total DFT energy (no corrections) = -16.252 eV per formula unit; calculated formation energy = -72 meV/atom
1.0
8.2898 0.0000 0.0000
0.0000 8.2898 0.0000
0.0000 0.0000 4.4816
Ge Tl Ba
4 4 2
Direct
0.6051 0.1051 0.0000
0.3949 0.8949 0.0000
0.8949 0.6051 0.0000
0.1051 0.3949 0.0000
0.1635 0.6635 0.5000
0.6635 0.8365 0.5000
0.3365 0.1635 0.5000
0.8365 0.3365 0.5000
0.0000 0.0000 0.0000
0.5000 0.5000 0.0000

=====

- Number 2 is which compound?
  BaTl2Ge2